No. 1
Material: CuOsAu4
Method: DFT, PBE
State: relaxed

Cell: 5.392 5.392 5.392 Å, 60.00 60.00 60.00°
Each line ends with the local moment (μB).
Fractional positions:
1 Cu 0.750 0.750 0.750  0.07
2 Au 0.375 0.375 0.875  0.04
3 Au 0.875 0.375 0.375  0.04
4 Os 0.000 0.000 0.000  2.17
5 Au 0.375 0.875 0.375  0.04
6 Au 0.375 0.375 0.375  0.04

Final energy (eV per cell): -23.27
Calculated formation energy (eV/atom): 0.86
N(E_F) (states/eV/cell): 6.0

=====

No. 2
Material: Rb3YMg
Method: DFT, PBE
State: relaxed

Cell: 7.040 7.040 7.040 Å, 90.00 90.00 90.00°
Each line ends with the local moment (μB).
Fractional positions:
1 Y 0.500 0.500 0.500  0.45
2 Rb 0.000 0.500 0.000  0.00
3 Mg 0.000 0.000 0.000  -0.01
4 Rb 0.000 0.000 0.500  0.00
5 Rb 0.500 0.000 0.000  0.00

Final energy (eV per cell): -6.99
Calculated formation energy (eV/atom): 0.79
Distance to the lowest polymorph of the same formula (eV/atom): 0.000
N(E_F) (states/eV/cell): 6.3

=====

No. 3
Material: TcSe
Method: DFT, PBE
State: relaxed

Cell: 4.749 7.112 3.074 Å, 77.52 71.12 55.13°
Fractional positions:
1 Tc 0.617 0.368 0.507
2 Se 0.924 0.544 0.766
3 Tc 0.299 0.215 0.243
4 Se 0.992 0.040 0.984

Uncorrected formation energy (eV per atom): 0.1329
Final energy (eV per cell): -27.17
Distance to the lowest polymorph of the same formula (eV/atom): 0.339
N(E_F) (states/eV/cell): 2.7

=====

No. 4
Material: CaMg14B
Method: DFT, PBE
State: relaxed

Cell: 6.435 6.435 10.043 Å, 90.00 90.00 120.00°
Fractional positions:
1 B 0.000 0.000 0.500
2 Ca 0.000 0.000 0.000
3 Mg 0.494 0.506 0.000
4 Mg 0.159 0.317 0.278
5 Mg 0.494 0.989 0.000
6 Mg 0.667 0.333 0.757
7 Mg 0.683 0.841 0.278
8 Mg 0.159 0.317 0.722
9 Mg 0.683 0.841 0.722
10 Mg 0.159 0.841 0.278
11 Mg 0.508 0.015 0.500
12 Mg 0.508 0.492 0.500
13 Mg 0.011 0.506 0.000
14 Mg 0.159 0.841 0.722
15 Mg 0.667 0.333 0.243
16 Mg 0.985 0.492 0.500

Final energy (eV per cell): -28.02
Calculated formation energy (eV/atom): 0.19
Distance to the lowest polymorph of the same formula (eV/atom): 0.046
N(E_F) (states/eV/cell): 6.0

=====

No. 5
Material: SrCaRe2
Method: DFT, PBE
State: relaxed

Cell: 5.906 5.906 5.906 Å, 143.92 137.86 56.65°
Fractional positions:
1 Sr 0.250 0.750 0.500
2 Re 0.501 0.501 0.000
3 Re 0.999 0.999 0.000
4 Ca 0.750 0.250 0.500

Final energy (eV per cell): -24.35
Calculated formation energy (eV/atom): 1.06
Distance to the lowest polymorph of the same formula (eV/atom): 0.734
N(E_F) (states/eV/cell): 2.4

=====

No. 6
Material: CdHgMo2
Method: DFT, PBE
State: relaxed

Cell: 4.603 3.942 3.942 Å, 90.00 90.00 90.00°
Fractional positions:
1 Hg 0.500 0.000 0.500
2 Cd 0.500 0.500 0.000
3 Mo 0.000 0.000 0.000
4 Mo 0.000 0.500 0.500

Final energy (eV per cell): -20.68
Calculated formation energy (eV/atom): 0.55
Distance to the lowest polymorph of the same formula (eV/atom): 0.238
N(E_F) (states/eV/cell): 2.6

=====

No. 7
Material: LaAgGe2
Method: DFT, PBE
State: relaxed

Cell: 4.351 4.544 4.544 Å, 90.00 90.00 90.00°
Fractional positions:
1 Ge 0.000 0.000 0.500
2 Ge 0.000 0.500 0.000
3 La 0.500 0.500 0.500
4 Ag 0.500 0.000 0.000

Final energy (eV per cell): -18.48
Calculated formation energy (eV/atom): -0.37
N(E_F) (states/eV/cell): 1.8

=====

No. 8
Material: K2Cd3Au
Method: DFT, PBE
State: relaxed

Cell: 6.268 6.268 9.952 Å, 90.00 90.00 120.00°
Fractional positions:
1 K 0.667 0.333 0.445
2 Cd 0.674 0.837 0.250
3 K 0.667 0.333 0.055
4 Au 0.000 0.000 0.000
5 Cd 0.837 0.163 0.750
6 K 0.333 0.667 0.555
7 Cd 0.163 0.326 0.250
8 Cd 0.163 0.837 0.250
9 Au 0.000 0.000 0.500
10 Cd 0.837 0.674 0.750
11 K 0.333 0.667 0.945
12 Cd 0.326 0.163 0.750

Final energy (eV per cell): -18.79
Calculated formation energy (eV/atom): -0.20
Distance to the lowest polymorph of the same formula (eV/atom): 0.000
N(E_F) (states/eV/cell): 2.2

=====

No. 9
Material: Ac15Sm4Ho
Method: DFT, PBE
State: relaxed

Cell: 5.520 5.520 27.460 Å, 90.00 90.00 90.00°
Fractional positions:
1 Ac 0.500 0.500 0.600
2 Ac 0.500 0.500 0.000
3 Ac 0.000 0.500 0.901
4 Ac 0.000 0.500 0.300
5 Ac 0.500 0.000 0.300
6 Ac 0.500 0.000 0.901
7 Ac 0.000 0.500 0.500
8 Sm 0.000 0.000 0.199
9 Sm 0.000 0.000 0.801
10 Sm 0.000 0.000 0.600
11 Ac 0.000 0.500 0.700
12 Ac 0.500 0.500 0.400
13 Ho 0.000 0.000 0.000
14 Ac 0.500 0.500 0.199
15 Ac 0.500 0.000 0.500
16 Ac 0.500 0.500 0.801
17 Sm 0.000 0.000 0.400
18 Ac 0.500 0.000 0.700
19 Ac 0.500 0.000 0.099
20 Ac 0.000 0.500 0.099

Final energy (eV per cell): -84.49
Calculated formation energy (eV/atom): 0.03
N(E_F) (states/eV/cell): 29.9

=====

No. 10
Material: Ba2PuGe2N6
Method: DFT, PBE
State: relaxed

Cell: 6.023 6.023 6.881 Å, 64.05 64.05 60.00°
Each line ends with the local moment (μB).
Fractional positions:
1 Pu 0.000 0.000 0.000  2.71
2 Ba 0.213 0.213 0.362  0.00
3 Ge 0.592 0.592 0.225  0.00
4 N 0.761 0.246 0.232  -0.09
5 N 0.761 0.761 0.232  -0.09
6 Ba 0.787 0.787 0.638  0.00
7 Ge 0.408 0.408 0.775  0.00
8 N 0.246 0.761 0.232  -0.09
9 N 0.754 0.239 0.768  -0.09
10 N 0.239 0.754 0.768  -0.09
11 N 0.239 0.239 0.768  -0.09

Uncorrected formation energy (eV per atom): -0.3973
Final energy (eV per cell): -81.73
N(E_F) (states/eV/cell): 5.4

=====

No. 11
Material: Nd3Zn3Hg2
Method: DFT, PBE
State: relaxed

Cell: 4.664 5.972 15.316 Å, 90.00 90.00 112.98°
Fractional positions:
1 Nd 0.101 0.202 0.893
2 Nd 0.101 0.202 0.607
3 Hg 0.802 0.604 0.601
4 Nd 0.622 0.244 0.250
5 Zn 0.398 0.796 0.539
6 Hg 0.198 0.396 0.101
7 Zn 0.344 0.688 0.250
8 Nd 0.378 0.756 0.750
9 Nd 0.899 0.798 0.393
10 Nd 0.899 0.798 0.107
11 Zn 0.602 0.204 0.039
12 Hg 0.802 0.604 0.899
13 Hg 0.198 0.396 0.399
14 Zn 0.602 0.204 0.461
15 Zn 0.398 0.796 0.961
16 Zn 0.656 0.312 0.750

Final energy (eV per cell): -43.20
Calculated formation energy (eV/atom): -0.36
N(E_F) (states/eV/cell): 14.5

=====

No. 12
Material: LaYHo3
Method: DFT, PBE
State: relaxed

Cell: 5.062 7.168 9.467 Å, 100.50 105.51 90.00°
Fractional positions:
1 Ho 0.599 0.046 0.197
2 Ho 0.199 0.850 0.398
3 Y 0.402 0.452 0.805
4 La 0.801 0.655 0.603
5 Ho 0.401 0.954 0.803
6 Ho 0.998 0.246 0.996
7 Ho 0.801 0.150 0.602
8 Y 0.598 0.548 0.195
9 Ho 0.002 0.754 0.004
10 La 0.199 0.345 0.397

Final energy (eV per cell): -49.97
Calculated formation energy (eV/atom): 0.03
Distance to the lowest polymorph of the same formula (eV/atom): 0.011
N(E_F) (states/eV/cell): 14.7